# Cs2NpNiO6 GGA+U optimized geometry
data_Cs2NpNiO6
_chemical_formula_sum 'Cs2 Np1 Ni1 O6'
_space_group_name_H-M_alt 'P -3 m 1'
_space_group_IT_number 164
_space_group_name_Hall '-P 3 2"'
_cell_length_a 6.5647
_cell_length_b 6.5647
_cell_length_c 5.4304
_cell_angle_alpha 90.00
_cell_angle_beta 90.00
_cell_angle_gamma 120.00
loop_
_atom_site_label
_atom_site_fract_x
_atom_site_fract_y
_atom_site_fract_z
Cs1 0.3333 0.6667 0.1819
Np1 0.0000 0.0000 0.5000
Ni1 0.0000 0.0000 0.0000
O1 0.1338 0.2676 0.7477
# N(E_F) = 8.9 states/eV/f.u.
# VASP energy = -65.15 eV per formula unit